A plane-wave DFT calculation with PBE-GGA was carried out for an optimized crystal structure of Na2SnC4O8.

SG: C2/c (15)
crystal system: monoclinic
E_form (uncorrected): -1368.4 meV per atom

POSCAR file:
```
Na2SnC4O8
1.0
5.246 -2.922 0.000
5.246 2.922 0.000
-4.306 0.000 13.175
Na Sn C O
4 2 8 16
Direct
0.175 0.199 0.050 Na
0.199 0.175 0.550 Na
0.801 0.825 0.450 Na
0.825 0.801 0.950 Na
0.188 0.812 0.250 Sn
0.812 0.188 0.750 Sn
0.340 0.352 0.366 C
0.352 0.340 0.866 C
0.388 0.590 0.889 C
0.410 0.612 0.611 C
0.590 0.388 0.389 C
0.612 0.410 0.111 C
0.648 0.660 0.134 C
0.660 0.648 0.634 C
0.131 0.519 0.317 O
0.169 0.359 0.902 O
0.204 0.769 0.560 O
0.231 0.796 0.940 O
0.359 0.169 0.402 O
0.414 0.437 0.142 O
0.437 0.414 0.642 O
0.481 0.869 0.183 O
0.519 0.131 0.817 O
0.563 0.586 0.358 O
0.586 0.563 0.858 O
0.641 0.831 0.598 O
0.769 0.204 0.060 O
0.796 0.231 0.440 O
0.831 0.641 0.098 O
0.869 0.481 0.683 O
```

A plane-wave DFT calculation with PBE-GGA was carried out for an optimized crystal structure of Na2SrC2O6.

SG: P-3 (147)
crystal system: trigonal
E_form (uncorrected): -1930.9 meV per atom

POSCAR file:
```
Na2SrC2O6
1.0
5.433 0.000 0.000
-2.717 4.705 0.000
0.000 0.000 6.397
Na Sr C O
2 1 2 6
Direct
0.333 0.667 0.348 Na
0.667 0.333 0.652 Na
0.000 0.000 0.000 Sr
0.333 0.667 0.770 C
0.667 0.333 0.230 C
0.104 0.418 0.767 O
0.315 0.896 0.767 O
0.418 0.315 0.233 O
0.582 0.685 0.767 O
0.685 0.104 0.233 O
0.896 0.582 0.233 O
```

A plane-wave DFT calculation with PBE-GGA was carried out for an optimized crystal structure of NaSrC2O6.

SG: C2/c (15)
crystal system: monoclinic
E_form (uncorrected): -1810.7 meV per atom

POSCAR file:
```
NaSrC2O6
1.0
4.506 -4.894 0.000
4.506 4.894 0.000
-2.434 0.000 6.370
Na Sr C O
2 2 4 12
Direct
0.173 0.827 0.750 Na
0.827 0.173 0.250 Na
0.366 0.634 0.250 Sr
0.634 0.366 0.750 Sr
0.157 0.319 0.726 C
0.319 0.157 0.226 C
0.681 0.843 0.774 C
0.843 0.681 0.274 C
0.038 0.695 0.366 O
0.162 0.256 0.190 O
0.256 0.162 0.690 O
0.262 0.496 0.852 O
0.305 0.962 0.134 O
0.496 0.262 0.352 O
0.504 0.738 0.648 O
0.695 0.038 0.866 O
0.738 0.504 0.148 O
0.744 0.838 0.310 O
0.838 0.744 0.810 O
0.962 0.305 0.634 O
```

These records have calculated density values of 2.80; 2.58; 2.73 g cm⁻³, in the order they appear.